1.
This record from Alexandria describes a geometry-optimized PrThAu2 structure. The functional is PBE.

Unit cell a=5.2730 b=5.2730 c=5.2730 alpha=60.00 beta=60.00 gamma=60.00
Element x y z (fractional)
1 Pr 0.0000 0.0000 0.0000
2 Th 0.5000 0.5000 0.5000
3 Au 0.2500 0.2500 0.2500
4 Au 0.7500 0.7500 0.7500

- ΔE_f (eV/atom) = -0.63
- spin magnetization (μB per cell) = 0.0
- energy relative to the lowest polymorph listed for this composition (meV per atom) = 56


2.
This record from Alexandria describes a geometry-optimized Er5Tm4Zr structure. The functional is PBE.

Unit cell a=7.8492 b=7.8492 c=7.8492 alpha=97.79 beta=97.79 gamma=136.79
Element x y z (fractional)
1 Er 0.0000 0.0000 0.0000
2 Er 0.5212 0.5212 0.6299
3 Er 0.5212 0.8914 0.0000
4 Er 0.8914 0.5212 0.0000
5 Er 0.8914 0.8914 0.3701
6 Tm 0.2329 0.5545 0.3216
7 Tm 0.2329 0.9113 0.6784
8 Tm 0.5545 0.2329 0.3216
9 Tm 0.9113 0.2329 0.6784
10 Zr 0.4634 0.4634 0.0000

- ΔE_f (eV/atom) = 0.26
- spin magnetization (μB per cell) = 0.0


3.
This record from Alexandria describes a geometry-optimized In5Se5Cl structure. The functional is PBE.

Unit cell a=9.3717 b=4.1699 c=15.7190 alpha=90.00 beta=93.20 gamma=90.00
Element x y z (fractional)
1 In 0.0541 0.2500 0.1565
2 In 0.1277 0.2500 0.5656
3 In 0.2306 0.7500 0.7924
4 In 0.3390 0.7500 0.0556
5 In 0.3923 0.2500 0.3623
6 In 0.6077 0.7500 0.6377
7 In 0.6610 0.2500 0.9444
8 In 0.7694 0.2500 0.2076
9 In 0.8723 0.7500 0.4344
10 In 0.9459 0.7500 0.8435
11 Se 0.0454 0.2500 0.3983
12 Se 0.1619 0.2500 0.0026
13 Se 0.2182 0.7500 0.2138
14 Se 0.3192 0.2500 0.6967
15 Se 0.4642 0.7500 0.8989
16 Se 0.5358 0.2500 0.1011
17 Se 0.6808 0.7500 0.3033
18 Se 0.7818 0.2500 0.7862
19 Se 0.8381 0.7500 0.9974
20 Se 0.9546 0.7500 0.6017
21 Cl 0.3282 0.7500 0.5045
22 Cl 0.6718 0.2500 0.4955

- formation energy without anion corrections (meV per atom) = -566
- spin magnetization (μB per cell) = 0.0


4.
This record from Alexandria describes a geometry-optimized CrTe structure. The functional is PBE.

Unit cell a=6.8022 b=6.8022 c=6.8022 alpha=109.47 beta=109.47 gamma=109.47
Element x y z (fractional)
1 Cr 0.0000 0.0000 0.7787
2 Cr 0.0000 0.7787 0.0000
3 Cr 0.2213 0.2213 0.2213
4 Cr 0.7787 0.0000 0.0000
5 Te 0.0000 0.0000 0.3924
6 Te 0.0000 0.3924 0.0000
7 Te 0.3924 0.0000 0.0000
8 Te 0.6076 0.6076 0.6076

- formation energy without anion corrections (meV per atom) = 207
- spin magnetization (μB per cell) = 4.0


Number 1: volume 104 Å³/cell. Number 2: volume 308 Å³/cell. Number 3: volume 613 Å³/cell. Number 4: volume 242 Å³/cell.